{"formula": "Tm2CoGe", "functional": "GGA-PBE", "state": "relaxed", "lattice_angstrom": [[-2.0030, -1.9653, -1.8555], [-1.3584, -1.2646, 2.8059], [-4.8976, 5.0719, -0.0851]], "species": ["Tm", "Tm", "Co", "Ge"], "fractional_positions": [[0.0000, 0.0000, 0.7699], [0.0000, 0.0000, 0.2301], [0.5000, 0.5000, 0.0000], [0.5000, 0.5000, 0.5000]], "dft_energy_ev_per_cell": -22.46, "e_form_kcal_per_mol_atoms": -10.32}

***

{"formula": "K2PaSO6", "functional": "GGA-PBE", "state": "relaxed", "lattice_angstrom": [[-1.8997, 4.1566, 3.2515], [1.3652, -2.9511, 4.5701], [4.4300, 2.7583, 3.8994]], "species": ["O", "O", "O", "O", "O", "O", "Pa", "K", "K", "S"], "fractional_positions": [[0.1899, 0.1899, 0.6203], [0.7088, 0.7087, 0.9998], [0.2912, 0.2913, 0.0002], [0.8101, 0.8101, 0.3797], [0.2914, 0.7087, 0.0000], [0.7086, 0.2913, 0.0000], [0.0000, 0.0000, 0.0000], [0.2500, 0.7500, 0.5000], [0.7500, 0.2500, 0.5000], [0.5000, 0.5000, 0.0000]], "dft_energy_ev_per_cell": -64.62}

***

{"formula": "EuIn2Bi", "functional": "GGA-PBE", "state": "relaxed", "lattice_angstrom": [[-4.5030, 2.4572, 0.3042], [-1.7911, -3.5927, 2.5079], [1.4118, 2.0916, 4.0047]], "species": ["Bi", "In", "In", "Eu"], "fractional_positions": [[0.5000, 0.0000, 0.0000], [0.0000, 0.5000, 0.0000], [0.0000, 0.0000, 0.5000], [0.5000, 0.5000, 0.5000]], "dft_energy_ev_per_cell": -21.41, "e_form_kcal_per_mol_atoms": -10.25, "e_above_lowest_polymorph_ev_per_fu": 0.00}

***

{"formula": "AcMg2Hg10", "functional": "GGA-PBE", "state": "relaxed", "lattice_angstrom": [[-5.1505, 1.8341, 3.2208], [-4.0782, -6.0535, 3.1764], [1.2494, 1.4042, 7.4492]], "species": ["Hg", "Hg", "Hg", "Hg", "Hg", "Hg", "Hg", "Hg", "Hg", "Hg", "Mg", "Mg", "Ac"], "fractional_positions": [[0.0000, 0.0000, 0.5000], [0.0118, 0.6442, 0.3322], [0.5000, 0.0000, 0.5000], [0.7172, 0.7793, 0.7863], [0.4965, 0.2207, 0.7863], [0.3440, 0.6442, 0.6678], [0.5035, 0.7793, 0.2137], [0.2828, 0.2207, 0.2137], [0.6560, 0.3558, 0.3322], [0.9882, 0.3558, 0.6678], [0.5000, 0.5000, 0.0000], [0.0000, 0.5000, 0.0000], [0.0000, 0.0000, 0.0000]], "dft_energy_ev_per_cell": -12.37, "e_form_kcal_per_mol_atoms": -3.65}

***

{"formula": "Sc3Ga2Au4", "functional": "GGA-PBE", "state": "relaxed", "lattice_angstrom": [[4.5148, 0.0000, 0.0000], [-2.2574, 4.6675, -2.0046], [0.0000, -1.0018, 8.4269]], "species": ["Sc", "Sc", "Sc", "Au", "Au", "Au", "Au", "Ga", "Ga"], "fractional_positions": [[0.0000, 0.0000, 0.0000], [0.6613, 0.3226, 0.6753], [0.3387, 0.6774, 0.3247], [0.2867, 0.5735, 0.9374], [0.9331, 0.8662, 0.6081], [0.7133, 0.4265, 0.0626], [0.0669, 0.1338, 0.3919], [0.6212, 0.2424, 0.2925], [0.3788, 0.7576, 0.7075]], "dft_energy_ev_per_cell": -44.58, "e_form_kcal_per_mol_atoms": -16.46}

***

{"formula": "TiPN3", "functional": "GGA-PBE", "state": "relaxed", "lattice_angstrom": [[-11.2417, -3.0512, -8.9123], [3.0608, -4.0959, -2.4586], [2.8320, -0.9913, 5.1772]], "species": ["Ti", "Ti", "Ti", "Ti", "N", "N", "N", "N", "N", "N", "N", "N", "N", "N", "N", "N", "P", "P", "P", "P"], "fractional_positions": [[0.9883, 0.7538, 0.0582], [0.5117, 0.2538, 0.4418], [0.4883, 0.7462, 0.5582], [0.0117, 0.2462, 0.9418], [0.5020, 0.7985, 0.9342], [0.0020, 0.7015, 0.4342], [0.1259, 0.4301, 0.4007], [0.6677, 0.5423, 0.8054], [0.3323, 0.4577, 0.1946], [0.8323, 0.0423, 0.6946], [0.8741, 0.5699, 0.5993], [0.3741, 0.9301, 0.0993], [0.1677, 0.9577, 0.3054], [0.6259, 0.0699, 0.9007], [0.4980, 0.2015, 0.0658], [0.9980, 0.2985, 0.5658], [0.6322, 0.0428, 0.1832], [0.8678, 0.5428, 0.3168], [0.3678, 0.9572, 0.8168], [0.1322, 0.4572, 0.6832]], "dft_energy_ev_per_cell": -167.63}

***

{"formula": "ErCuTeS", "functional": "GGA-PBE", "state": "relaxed", "lattice_angstrom": [[3.9662, -0.0033, -0.0021], [-1.9803, 3.4364, 0.0021], [-1.9807, -1.1452, 6.8419]], "species": ["Cu", "Te", "S", "Er"], "fractional_positions": [[0.7619, 0.2072, 0.9692], [0.5087, 0.0804, 0.5891], [0.1605, 0.9065, 0.0670], [0.6546, 0.6535, 0.3081]], "dft_energy_ev_per_cell": -19.83}

***

{"formula": "Cs2AlHgI6", "functional": "GGA-PBE", "state": "relaxed", "lattice_angstrom": [[8.4613, 0.0000, 0.0000], [0.0000, 8.4613, 0.0000], [4.2307, 4.2307, 6.0119]], "species": ["I", "I", "I", "I", "I", "I", "Al", "Cs", "Cs", "Hg"], "fractional_positions": [[0.7351, 0.7351, 0.0000], [0.7351, 0.2649, 0.0000], [0.7341, 0.7341, 0.5318], [0.2659, 0.2659, 0.4682], [0.2649, 0.7351, 0.0000], [0.2649, 0.2649, 0.0000], [0.5000, 0.5000, 0.0000], [0.7500, 0.2500, 0.5000], [0.2500, 0.7500, 0.5000], [0.0000, 0.0000, 0.0000]], "dft_energy_ev_per_cell": -23.80}

***

{"formula": "Fe3Re", "functional": "GGA-PBE", "state": "relaxed", "lattice_angstrom": [[3.6226, 0.0000, 0.0000], [0.0000, 3.6226, 0.0000], [-1.8113, -1.8113, 3.5675]], "species": ["Re", "Fe", "Fe", "Fe"], "fractional_positions": [[0.0000, 0.0000, 0.0000], [0.7500, 0.2500, 0.5000], [0.2500, 0.7500, 0.5000], [0.5000, 0.5000, 0.0000]], "dft_energy_ev_per_cell": -37.54, "e_form_kcal_per_mol_atoms": 1.70}

***

{"formula": "RbCdSi2O", "functional": "GGA-PBE", "state": "relaxed", "lattice_angstrom": [[-4.2840, 4.1367, -1.3106], [-4.6809, -4.2680, 1.8296], [0.2995, 2.1192, 5.7098]], "species": ["Rb", "Cd", "Si", "Si", "O"], "fractional_positions": [[0.0000, 0.0000, 0.0000], [0.0000, 0.5000, 0.0000], [0.0000, 0.0000, 0.5000], [0.5000, 0.0000, 0.0000], [0.5000, 0.5000, 0.5000]], "dft_energy_ev_per_cell": -6.61}

***

{"formula": "CePmPrTl", "functional": "GGA-PBE", "state": "relaxed", "lattice_angstrom": [[-2.4291, -1.6394, 4.7073], [-3.8327, -4.0057, -0.1070], [1.1487, -4.9935, 2.1195]], "species": ["Tl", "Ce", "Pr", "Pm"], "fractional_positions": [[0.5000, 0.5000, 0.5000], [0.0000, 0.0000, 0.0000], [0.2500, 0.2500, 0.2500], [0.7500, 0.7500, 0.7500]], "dft_energy_ev_per_cell": -17.85, "e_form_kcal_per_mol_atoms": -0.14}

***

{"formula": "LaZr2Cr2", "functional": "GGA-PBE", "state": "relaxed", "lattice_angstrom": [[4.3940, 0.0000, 0.0000], [0.0000, 4.3940, 0.0000], [2.1970, 2.1970, 5.6647]], "species": ["Zr", "Zr", "Cr", "Cr", "La"], "fractional_positions": [[0.7500, 0.2500, 0.5000], [0.2500, 0.7500, 0.5000], [0.5882, 0.5882, 0.8235], [0.4118, 0.4118, 0.1765], [0.0000, 0.0000, 0.0000]], "dft_energy_ev_per_cell": -39.09, "e_form_kcal_per_mol_atoms": 10.05, "e_above_lowest_polymorph_ev_per_fu": 0.32}